! Ca2GeAs3Pt4, optimized geometry, DFT GGA-PBE; values from VASP
&SYSTEM
  ibrav = 0, nat = 10, ntyp = 4
/
ATOMIC_SPECIES
Ca 40.08 Ca.upf
Ge 72.64 Ge.upf
As 74.92 As.upf
Pt 195.08 Pt.upf
ATOMIC_POSITIONS angstrom
Ca 2.1682 0.0000 2.5309
Ca 0.0000 2.1682 7.8873
Ge 2.1682 2.1682 5.2091
As 0.0000 0.0000 5.2091
As 2.1682 0.0000 9.0244
As 0.0000 2.1682 1.3938
Pt 2.1682 2.1682 0.0000
Pt 0.0000 0.0000 0.0000
Pt 2.1682 0.0000 6.5647
Pt 0.0000 2.1682 3.8534
CELL_PARAMETERS angstrom
4.3364 0.0000 0.0000
0.0000 4.3364 0.0000
0.0000 0.0000 10.4182
! Total energy in eV/cell: -54.106